[1]
Material: Ba2Bi2Br
Method: DFT, PBE
State: optimized geometry

Calculated values
Calculated volume ... 233 Å³/cell
Uncorrected energy ... -18.9 eV/cell
Formation energy (no corrections) ... -1.128 eV per atom
DOS(E_F) ... 0.317 states/eV per atom

a b c (Å): 5.532 4.688 9.392
angles (deg): 90.00 107.13 90.00
Fractional positions:
Bi 0.709 0.000 0.417
Br 0.000 0.000 0.000
Bi 0.291 0.000 0.583
Ba 0.861 0.500 0.721
Ba 0.139 0.500 0.279

=====

[2]
Material: Ba2BiBr
Method: DFT, PBE
State: optimized geometry

Calculated values
Calculated volume ... 155 Å³/cell
Uncorrected energy ... -14.8 eV/cell
Formation energy (no corrections) ... -1.350 eV per atom
DOS(E_F) ... 0.000 states/eV per atom

a b c (Å): 6.036 6.036 6.036
angles (deg): 60.00 60.00 60.00
Fractional positions:
Ba 0.250 0.250 0.250
Br 0.000 0.000 0.000
Ba 0.750 0.750 0.750
Bi 0.500 0.500 0.500

=====

[3]
Material: Ba2BiBr
Method: DFT, PBE
State: optimized geometry

Calculated values
Calculated volume ... 461 Å³/cell
Uncorrected energy ... -28.2 eV/cell
Formation energy (no corrections) ... -1.178 eV per atom
DOS(E_F) ... 0.000 states/eV per atom

a b c (Å): 7.398 7.398 9.907
angles (deg): 68.08 68.08 90.00
Fractional positions:
Br 0.250 0.750 0.500
Bi 0.750 0.250 0.500
Br 0.500 0.500 0.000
Ba 0.622 0.125 0.250
Ba 0.128 0.625 0.250
Ba 0.875 0.872 0.750
Ba 0.375 0.378 0.750
Bi 0.000 0.000 0.000

=====

[4]
Material: Ba2Bi2Br
Method: DFT, PBE
State: optimized geometry

Calculated values
Calculated volume ... 425 Å³/cell
Uncorrected energy ... -37.4 eV/cell
Formation energy (no corrections) ... -1.086 eV per atom
DOS(E_F) ... 0.804 states/eV per atom

a b c (Å): 9.006 9.006 5.241
angles (deg): 90.00 90.00 90.00
Fractional positions:
Bi 0.616 0.884 0.500
Bi 0.116 0.616 0.500
Ba 0.323 0.823 0.000
Ba 0.177 0.323 0.000
Bi 0.884 0.384 0.500
Br 0.500 0.500 0.000
Ba 0.677 0.177 0.000
Bi 0.384 0.116 0.500
Ba 0.823 0.677 0.000
Br 0.000 0.000 0.000

=====

[5]
Material: BaBiBr2
Method: DFT, PBE
State: optimized geometry

Calculated values
Calculated volume ... 149 Å³/cell
Uncorrected energy ... -11.0 eV/cell
Formation energy (no corrections) ... -0.459 eV per atom
DOS(E_F) ... 0.619 states/eV per atom

a b c (Å): 11.434 11.434 11.434
angles (deg): 19.70 19.70 19.70
Fractional positions:
Br 0.907 0.907 0.907
Bi 0.500 0.500 0.500
Br 0.093 0.093 0.093
Ba 0.000 0.000 0.000

=====

[6]
Material: Ba2Bi2Br
Method: DFT, PBE
State: optimized geometry

Calculated values
Calculated volume ... 213 Å³/cell
Uncorrected energy ... -18.1 eV/cell
Formation energy (no corrections) ... -0.969 eV per atom
DOS(E_F) ... 0.400 states/eV per atom

a b c (Å): 4.761 4.761 9.964
angles (deg): 76.18 76.18 90.00
Fractional positions:
Ba 0.611 0.611 0.778
Ba 0.389 0.389 0.222
Bi 0.250 0.750 0.500
Br 0.000 0.000 0.000
Bi 0.750 0.250 0.500

=====

[7]
Material: BaBiBr2
Method: DFT, PBE
State: optimized geometry

Calculated values
Calculated volume ... 312 Å³/cell
Uncorrected energy ... -26.2 eV/cell
Formation energy (no corrections) ... -0.992 eV per atom
DOS(E_F) ... 0.955 states/eV per atom

a b c (Å): 5.470 5.470 11.131
angles (deg): 75.78 75.78 90.00
Fractional positions:
Bi 0.000 0.000 0.000
Br 0.648 0.125 0.250
Br 0.875 0.898 0.750
Br 0.375 0.352 0.750
Br 0.102 0.625 0.250
Bi 0.750 0.250 0.500
Ba 0.500 0.500 0.000
Ba 0.250 0.750 0.500

=====

[8]
Material: Ba4BiBr3
Method: DFT, PBE
State: optimized geometry

Calculated values
Calculated volume ... 328 Å³/cell
Uncorrected energy ... -28.6 eV/cell
Formation energy (no corrections) ... -1.500 eV per atom
DOS(E_F) ... 0.452 states/eV per atom

a b c (Å): 4.971 8.385 8.385
angles (deg): 110.25 90.00 90.00
Fractional positions:
Br 0.000 0.500 0.000
Ba 0.500 0.751 0.249
Bi 0.500 0.000 0.000
Br 0.500 0.500 0.500
Ba 0.000 0.248 0.248
Ba 0.500 0.249 0.751
Ba 0.000 0.752 0.752
Br 0.000 0.000 0.500

=====

[9]
Material: BaBiBr6
Method: DFT, PBE
State: optimized geometry

Calculated values
Calculated volume ... 313 Å³/cell
Uncorrected energy ... -24.3 eV/cell
Formation energy (no corrections) ... -1.055 eV per atom
DOS(E_F) ... 1.190 states/eV per atom

a b c (Å): 7.199 7.283 8.011
angles (deg): 63.64 63.62 60.21
Fractional positions:
Br 0.784 0.028 0.766
Ba 0.500 0.500 0.500
Br 0.029 0.415 0.766
Bi 0.000 0.000 0.000
Br 0.216 0.972 0.234
Br 0.581 0.214 0.233
Br 0.419 0.786 0.767
Br 0.971 0.585 0.234

=====

[10]
Material: Ba5BiBr5
Method: DFT, PBE
State: optimized geometry

Calculated values
Calculated volume ... 473 Å³/cell
Uncorrected energy ... -40.2 eV/cell
Formation energy (no corrections) ... -1.670 eV per atom
DOS(E_F) ... 0.471 states/eV per atom

a b c (Å): 6.822 8.333 9.605
angles (deg): 106.61 90.00 114.16
Fractional positions:
Ba 0.835 0.670 0.169
Br 0.668 0.335 0.337
Bi 0.000 0.000 0.000
Br 0.671 0.341 0.834
Br 0.000 0.000 0.500
Br 0.329 0.659 0.166
Ba 0.163 0.326 0.333
Ba 0.837 0.674 0.667
Ba 0.500 0.000 0.000
Ba 0.165 0.330 0.831
Br 0.332 0.665 0.663

=====

[11]
Material: Ba4BiBr5
Method: DFT, PBE
State: optimized geometry

Calculated values
Calculated volume ... 976 Å³/cell
Uncorrected energy ... -75.2 eV/cell
Formation energy (no corrections) ... -1.765 eV per atom

a b c (Å): 7.892 11.685 10.585
angles (deg): 90.00 90.00 90.00
Fractional positions:
Br 0.254 0.701 0.743
Ba 0.008 0.246 0.000
Br 0.746 0.201 0.243
Ba 0.455 0.000 0.752
Br 0.254 0.299 0.743
Br 0.213 0.000 0.500
Ba 0.545 0.500 0.252
Br 0.746 0.201 0.757
Ba 0.008 0.754 0.000
Bi 0.210 0.000 0.000
Ba 0.992 0.746 0.500
Br 0.254 0.701 0.257
Ba 0.545 0.500 0.748
Br 0.787 0.500 0.000
Br 0.254 0.299 0.257
Bi 0.790 0.500 0.500
Ba 0.992 0.254 0.500
Br 0.746 0.799 0.243
Ba 0.455 0.000 0.248
Br 0.746 0.799 0.757

=====

[12]
Material: Ba2BiBr
Method: DFT, PBE
State: optimized geometry

Calculated values
Calculated volume ... 184 Å³/cell
Uncorrected energy ... -14.9 eV/cell
Formation energy (no corrections) ... -1.372 eV per atom

a b c (Å): 4.983 4.983 9.009
angles (deg): 73.95 73.95 60.00
Fractional positions:
Bi 0.668 0.668 0.997
Br 0.496 0.496 0.512
Ba 0.259 0.259 0.222
Ba 0.077 0.077 0.770

=====

[13]
Material: Ba2Ca2Bi2Br
Method: DFT, PBE
State: optimized geometry

Calculated values
Calculated volume ... 272 Å³/cell
Uncorrected energy ... -24.1 eV/cell
Formation energy (no corrections) ... -0.981 eV per atom
DOS(E_F) ... 0.721 states/eV per atom

a b c (Å): 5.427 5.427 10.008
angles (deg): 105.73 105.73 90.00
Fractional positions:
Bi 0.621 0.621 0.242
Br 0.000 0.000 0.000
Ca 0.000 0.500 0.000
Bi 0.379 0.379 0.758
Ba 0.818 0.818 0.637
Ba 0.182 0.182 0.363
Ca 0.500 0.000 0.000

=====

[14]
Material: BaCa2BiBr
Method: DFT, PBE
State: optimized geometry

Calculated values
Calculated volume ... 268 Å³/cell
Uncorrected energy ... -10.5 eV/cell
Formation energy (no corrections) ... 0.200 eV per atom
DOS(E_F) ... 1.284 states/eV per atom

a b c (Å): 6.822 5.753 6.822
angles (deg): 90.00 90.00 90.00
Fractional positions:
Ca 0.000 0.000 0.500
Br 0.000 0.500 0.000
Ba 0.000 0.000 0.000
Ca 0.500 0.000 0.000
Bi 0.500 0.500 0.500

=====

[15]
Material: BaCdBiBr
Method: DFT, PBE
State: optimized geometry

Calculated values
Calculated volume ... 270 Å³/cell
Uncorrected energy ... -25.2 eV/cell
Formation energy (no corrections) ... -1.052 eV per atom
DOS(E_F) ... 0.175 states/eV per atom

a b c (Å): 5.054 5.054 10.585
angles (deg): 90.00 90.00 90.00
Fractional positions:
Bi 0.500 0.000 0.172
Ba 0.500 0.000 0.696
Bi 0.000 0.500 0.828
Cd 0.000 0.000 0.000
Br 0.000 0.000 0.500
Ba 0.000 0.500 0.304
Br 0.500 0.500 0.500
Cd 0.500 0.500 0.000

=====

[16]
Material: Cs2BaBiBr6
Method: DFT, PBE
State: optimized geometry

Calculated values
Calculated volume ... 489 Å³/cell
Uncorrected energy ... -32.0 eV/cell
Formation energy (no corrections) ... -1.445 eV per atom
DOS(E_F) ... 0.000 states/eV per atom

a b c (Å): 8.538 8.538 9.022
angles (deg): 61.76 61.76 90.00
Fractional positions:
Br 0.762 0.238 0.000
Br 0.238 0.762 0.000
Bi 0.000 0.000 0.000
Cs 0.250 0.750 0.500
Br 0.265 0.265 0.470
Br 0.762 0.762 0.000
Br 0.238 0.238 0.000
Cs 0.750 0.250 0.500
Br 0.735 0.735 0.530
Ba 0.500 0.500 0.000

=====

[17]
Material: BaEuBiBr
Method: DFT, PBE
State: optimized geometry

Calculated values
Calculated volume ... 143 Å³/cell
Uncorrected energy ... -22.7 eV/cell
Formation energy (no corrections) ... -1.243 eV per atom
DOS(E_F) ... 1.682 states/eV per atom

a b c (Å): 5.870 5.870 5.870
angles (deg): 60.00 60.00 60.00
Fractional positions:
Ba 0.500 0.500 0.500
Bi 0.250 0.250 0.250
Br 0.750 0.750 0.750
Eu 0.000 0.000 0.000

=====

[18]
Material: Ba2FeBiBr
Method: DFT, PBE
State: optimized geometry

Calculated values
Calculated volume ... 182 Å³/cell
Uncorrected energy ... -19.4 eV/cell
Formation energy (no corrections) ... -0.308 eV per atom
DOS(E_F) ... 0.641 states/eV per atom

a b c (Å): 6.361 4.496 6.361
angles (deg): 90.00 90.00 90.00
Fractional positions:
Ba 0.000 0.000 0.500
Ba 0.500 0.000 0.000
Bi 0.500 0.500 0.500
Fe 0.000 0.500 0.000
Br 0.000 0.000 0.000

=====

[19]
Material: BaHg2BiBr
Method: DFT, PBE
State: optimized geometry

Calculated values
Calculated volume ... 313 Å³/cell
Uncorrected energy ... -7.5 eV/cell
Formation energy (no corrections) ... 0.125 eV per atom
DOS(E_F) ... 0.454 states/eV per atom

a b c (Å): 6.836 6.689 6.836
angles (deg): 90.00 90.00 90.00
Fractional positions:
Ba 0.000 0.000 0.000
Br 0.500 0.500 0.500
Bi 0.000 0.500 0.000
Hg 0.500 0.000 0.000
Hg 0.000 0.000 0.500

=====

[20]
Material: Ba6BiI3Br2
Method: DFT, PBE
State: optimized geometry

Calculated values
Calculated volume ... 512 Å³/cell
Uncorrected energy ... -40.1 eV/cell
Formation energy (no corrections) ... -1.392 eV per atom
DOS(E_F) ... 0.620 states/eV per atom

a b c (Å): 8.358 8.358 8.926
angles (deg): 99.01 99.01 120.07
Fractional positions:
Br 0.668 0.332 0.000
Ba 0.261 0.261 0.770
I 0.163 0.837 0.500
Ba 0.586 0.922 0.769
Ba 0.739 0.739 0.230
Bi 0.000 0.000 0.000
I 0.837 0.163 0.500
Ba 0.078 0.414 0.231
I 0.500 0.500 0.500
Br 0.332 0.668 0.000
Ba 0.922 0.586 0.769
Ba 0.414 0.078 0.231

=====

[21]
Material: Ba4Bi2IBr
Method: DFT, PBE
State: optimized geometry

Calculated values
Calculated volume ... 361 Å³/cell
Uncorrected energy ... -29.2 eV/cell
Formation energy (no corrections) ... -1.320 eV per atom
DOS(E_F) ... 0.082 states/eV per atom

a b c (Å): 7.177 7.177 8.652
angles (deg): 114.52 114.52 89.97
Fractional positions:
Ba 0.437 0.938 0.000
Ba 0.193 0.193 0.513
Bi 0.687 0.187 0.500
Bi 0.187 0.687 0.500
Br 0.437 0.437 0.000
I 0.937 0.937 0.000
Ba 0.938 0.437 0.000
Ba 0.681 0.681 0.487

=====

[22]
Material: Ba6Bi2IBr3
Method: DFT, PBE
State: optimized geometry

Calculated values
Calculated volume ... 515 Å³/cell
Uncorrected energy ... -43.0 eV/cell
Formation energy (no corrections) ... -1.432 eV per atom
DOS(E_F) ... 0.422 states/eV per atom

a b c (Å): 5.046 9.743 10.990
angles (deg): 101.14 103.27 90.00
Fractional positions:
Ba 0.331 0.424 0.661
Br 0.166 0.835 0.333
Ba 0.999 0.739 0.999
I 0.500 0.000 0.000
Br 0.834 0.165 0.667
Bi 0.837 0.674 0.673
Ba 0.669 0.576 0.339
Br 0.500 0.500 0.000
Ba 0.670 0.090 0.340
Bi 0.163 0.326 0.327
Ba 0.001 0.261 0.001
Ba 0.330 0.910 0.660

=====

[23]
Material: Ba4BiI2Br
Method: DFT, PBE
State: optimized geometry

Calculated values
Calculated volume ... 353 Å³/cell
Uncorrected energy ... -27.3 eV/cell
Formation energy (no corrections) ... -1.375 eV per atom
DOS(E_F) ... 0.506 states/eV per atom

a b c (Å): 5.053 8.496 8.733
angles (deg): 109.86 90.00 90.00
Fractional positions:
Br 0.500 0.500 0.000
Ba 0.500 0.243 0.232
I 0.000 0.500 0.500
Ba 0.000 0.747 0.233
Ba 0.000 0.253 0.767
Bi 0.000 0.000 0.000
Ba 0.500 0.757 0.768
I 0.500 0.000 0.500

=====

[24]
Material: BaInBiBr6
Method: DFT, PBE
State: optimized geometry

Calculated values
Calculated volume ... 763 Å³/cell
Uncorrected energy ... -58.8 eV/cell
Formation energy (no corrections) ... -1.200 eV per atom
DOS(E_F) ... 0.000 states/eV per atom

a b c (Å): 7.988 7.988 13.814
angles (deg): 90.00 90.00 120.00
Fractional positions:
Br 0.337 0.372 0.871
Br 0.035 0.663 0.871
Ba 0.333 0.667 0.250
Ba 0.667 0.333 0.750
Bi 0.667 0.333 0.250
Br 0.035 0.372 0.629
Br 0.372 0.337 0.371
In 0.000 0.000 0.500
Br 0.628 0.663 0.629
Br 0.663 0.628 0.129
Br 0.663 0.035 0.371
Br 0.372 0.035 0.129
In 0.000 0.000 0.000
Br 0.965 0.337 0.129
Bi 0.333 0.667 0.750
Br 0.965 0.628 0.371
Br 0.628 0.965 0.871
Br 0.337 0.965 0.629